[1]
A plane-wave DFT calculation with GGA-PBE was carried out for SmTmZr2N4 after structural relaxation.

Lattice parameters (Å, degrees): 3.352 5.810 5.870 109.24 90.00 90.00
Positions (direct):
N1 0.500 0.248 0.266
N2 0.000 0.764 0.272
N3 0.500 0.752 0.734
N4 0.000 0.236 0.728
Tm1 0.000 0.000 0.000
Sm1 0.500 0.500 0.000
Zr1 0.500 0.000 0.500
Zr2 0.000 0.500 0.500

DOS(E_F) = 0.39 states/eV/atom
Raw total energy = -9.133 eV/atom
Raw formation energy = -1684.9 meV per atom

=====

[2]
A plane-wave DFT calculation with GGA-PBE was carried out for Sm3TmZr2N6 after structural relaxation.

Lattice parameters (Å, degrees): 5.918 5.918 5.988 99.47 99.47 120.00
Positions (direct):
N1 0.583 0.924 0.774
N2 0.267 0.267 0.776
N3 0.924 0.583 0.774
N4 0.733 0.733 0.224
N5 0.076 0.417 0.226
N6 0.417 0.076 0.226
Zr1 0.666 0.334 0.000
Zr2 0.334 0.666 0.000
Sm1 0.500 0.500 0.500
Sm2 0.834 0.166 0.500
Sm3 0.166 0.834 0.500
Tm1 0.000 0.000 0.000

DOS(E_F) = 0.14 states/eV/atom
Raw total energy = -8.778 eV/atom
Raw formation energy = -1638.0 meV per atom

=====

[3]
A plane-wave DFT calculation with GGA-PBE was carried out for SmUN2 after structural relaxation.

Lattice parameters (Å, degrees): 3.010 3.010 6.069 90.00 90.00 90.00
Positions (direct):
Sm1 0.500 0.500 0.500
U1 0.500 0.500 0.000
N1 0.000 0.000 0.767
N2 0.000 0.000 0.233

DOS(E_F) = 0.95 states/eV/atom
Raw total energy = -8.834 eV/atom
Raw formation energy = -669.3 meV per atom

=====

[4]
A plane-wave DFT calculation with GGA-PBE was carried out for Sm3UN4 after structural relaxation.

Lattice parameters (Å, degrees): 6.109 6.128 7.077 90.00 90.00 109.52
Positions (direct):
Sm1 0.250 0.500 0.875
Sm2 0.750 0.000 0.377
Sm3 0.250 0.500 0.377
Sm4 0.750 0.500 0.125
Sm5 0.750 0.500 0.623
Sm6 0.250 0.000 0.623
N1 0.003 0.220 0.111
N2 0.523 0.768 0.646
N3 0.503 0.220 0.889
N4 0.497 0.780 0.111
N5 0.977 0.232 0.646
N6 0.997 0.780 0.889
N7 0.477 0.232 0.354
N8 0.023 0.768 0.354
U1 0.750 0.000 0.872
U2 0.250 0.000 0.128

DOS(E_F) = 0.46 states/eV/atom
Raw total energy = -8.844 eV/atom
Raw formation energy = -1500.3 meV per atom

=====

[5]
A plane-wave DFT calculation with GGA-PBE was carried out for Sm2UN3 after structural relaxation.

Lattice parameters (Å, degrees): 6.076 6.102 6.102 119.91 99.51 99.51
Positions (direct):
N1 0.999 0.213 0.359
N2 0.499 0.359 0.213
N3 0.000 0.500 0.000
N4 0.500 0.000 0.500
N5 0.001 0.787 0.641
N6 0.501 0.641 0.787
U1 0.250 0.586 0.414
U2 0.750 0.414 0.586
Sm1 0.750 0.752 0.248
Sm2 0.250 0.248 0.752
Sm3 0.250 0.916 0.084
Sm4 0.750 0.084 0.916

DOS(E_F) = 0.83 states/eV/atom
Raw total energy = -9.078 eV/atom
Raw formation energy = -1461.2 meV per atom

=====

[6]
A plane-wave DFT calculation with GGA-PBE was carried out for Sm2UN4 after structural relaxation.

Lattice parameters (Å, degrees): 3.577 5.942 9.957 90.00 90.00 90.00
Positions (direct):
N1 0.500 0.774 0.544
N2 0.000 0.641 0.809
N3 0.500 0.274 0.956
N4 0.500 0.226 0.456
N5 0.000 0.859 0.309
N6 0.500 0.726 0.044
N7 0.000 0.141 0.691
N8 0.000 0.359 0.191
Sm1 0.500 0.564 0.323
Sm2 0.500 0.936 0.823
Sm3 0.500 0.064 0.177
Sm4 0.500 0.436 0.677
U1 0.000 0.500 0.000
U2 0.000 0.000 0.500

Raw total energy = -9.242 eV/atom
Raw formation energy = -1523.7 meV per atom

=====

[7]
A plane-wave DFT calculation with GGA-PBE was carried out for SmUN2 after structural relaxation.

Lattice parameters (Å, degrees): 3.443 3.443 6.109 90.03 89.99 120.00
Positions (direct):
U1 0.000 0.500 0.000
N1 0.667 0.833 0.773
N2 0.333 0.167 0.227
Sm1 0.000 0.500 0.500

DOS(E_F) = 1.20 states/eV/atom
Raw total energy = -9.203 eV/atom
Raw formation energy = -1038.5 meV per atom

=====

[8]
A plane-wave DFT calculation with GGA-PBE was carried out for Sm3UN4 after structural relaxation.

Lattice parameters (Å, degrees): 3.545 6.110 6.110 109.10 90.00 90.00
Positions (direct):
Sm1 0.000 0.500 0.000
Sm2 0.500 0.500 0.500
Sm3 0.000 0.000 0.500
N1 0.500 0.227 0.773
N2 0.000 0.224 0.224
N3 0.000 0.776 0.776
N4 0.500 0.773 0.227
U1 0.500 0.000 0.000

DOS(E_F) = 0.65 states/eV/atom
Raw total energy = -8.831 eV/atom
Raw formation energy = -1487.6 meV per atom